This record from Alexandria describes CoMoSeBr2 at its PBEsol-relaxed geometry. The functional is meta-GGA SCAN.

Lattice parameters (Å, degrees): 5.5560 5.5560 4.2381 90.00 90.00 90.00
With the nearest neighbours (Å) after each atom.
Space group P4/mmm (No. 123)
Symmetry-distinct sites (fractional):
Co1 0.0000 0.0000 0.0000  2 Se 2.12
Mo1 0.5000 0.5000 0.0000  8 Br 3.49
Se1 0.0000 0.0000 0.5000  2 Co 2.12
Br1 0.0000 0.5000 0.5000  2 Se 2.78

Properties
Its electronic total energy is -21.239 eV/atom. The crystal system is tetragonal.


This record from Alexandria describes CoBrN3 at its PBEsol-relaxed geometry. The functional is meta-GGA SCAN.

Lattice parameters (Å, degrees): 3.8063 3.8063 3.8063 90.00 90.00 90.00
With the nearest neighbours (Å) after each atom.
Space group Pm-3m (No. 221)
Symmetry-distinct sites (fractional):
Co1 0.0000 0.0000 0.0000  12 N 2.69
Br1 0.5000 0.5000 0.5000  6 N 1.90
N1 0.0000 0.5000 0.5000  2 Br 1.90

Properties
Its electronic total energy is -10.125 eV/atom. The crystal system is cubic.


This record from Alexandria describes CoBr3N at its PBEsol-relaxed geometry. The functional is meta-GGA SCAN.

Lattice parameters (Å, degrees): 4.8538 4.8538 4.8538 90.00 90.00 90.00
With the nearest neighbours (Å) after each atom.
Space group Pm-3m (No. 221)
Symmetry-distinct sites (fractional):
Co1 0.0000 0.0000 0.0000  6 Br 2.43
Br1 0.0000 0.0000 0.5000  2 Co 2.43
N1 0.5000 0.5000 0.5000  12 Br 3.43

Properties
Its electronic total energy is -16.126 eV/atom. The crystal system is cubic.


This record from Alexandria describes CoSeBrN2 at its PBEsol-relaxed geometry. The functional is meta-GGA SCAN.

Lattice parameters (Å, degrees): 3.6390 3.6390 6.4936 90.00 90.00 90.00
With the nearest neighbours (Å) after each atom.
Space group P4/mmm (No. 123)
Symmetry-distinct sites (fractional):
Co1 0.0000 0.0000 0.0000  4 Se 2.57
Se1 0.5000 0.5000 0.0000  4 Co 2.57
Br1 0.5000 0.5000 0.5000  4 N 1.82
N1 0.0000 0.5000 0.5000  2 Br 1.82

Properties
Its electronic total energy is -12.921 eV/atom. The crystal system is tetragonal.


This record from Alexandria describes NaCoBr2 at its PBEsol-relaxed geometry. The functional is meta-GGA SCAN.

Lattice parameters (Å, degrees): 3.7567 3.7567 24.7521 90.00 90.00 120.00
With the nearest neighbours (Å) after each atom.
Space group R-3m (No. 166, hexagonal axes)
Symmetry-distinct sites (fractional):
Na1 0.0000 0.0000 0.0000  2 Br 2.77
Co1 0.0000 0.0000 0.5000  6 Br 2.56
Br1 0.0000 0.0000 0.1120  3 Co 2.56, 1 Na 2.77

Properties
Its electronic total energy is -15.705 eV/atom. The crystal system is trigonal.


This record from Alexandria describes NaCo2Br2 at its PBEsol-relaxed geometry. The functional is meta-GGA SCAN.

Lattice parameters (Å, degrees): 4.6789 4.6789 8.7703 90.00 90.00 90.00
With the nearest neighbours (Å) after each atom.
Space group I4/mmm (No. 139)
Symmetry-distinct sites (fractional):
Na1 0.0000 0.0000 0.0000  8 Br 3.21, 10 Co 3.29-3.49
Co1 0.0000 0.0000 0.3747  1 Co 2.20
Br1 0.0000 0.5000 0.2500  4 Co 2.58

Properties
Its electronic total energy is -15.522 eV/atom. The crystal system is tetragonal.


Results for uncorrected formation energy: 4.99 14.01 4.34 10.82 -2.38 0.13 (in eV per formula unit, following the order of the records).
Results for total magnetization: 7.17 3.94 4.85 1.24 2.09 4.48 (in μB/f.u., following the order of the records).
Results for V: 130.8 55.1 114.4 86.0 302.5 192.0 (in Å³/cell, following the order of the records).